No. 1
# PBE-GGA Ta2TlP, optimized geometry
data_Ta2TlP
_cell_length_a 3.997
_cell_length_b 3.997
_cell_length_c 9.120
_cell_angle_alpha 90.00
_cell_angle_beta 90.00
_cell_angle_gamma 90.00
_symmetry_space_group_name_H-M 'I -4 m 2'
_symmetry_Int_Tables_number 119
_symmetry_space_group_name_Hall 'I -4 -2'
loop_
_atom_site_label
_atom_site_fract_x
_atom_site_fract_y
_atom_site_fract_z
Ta1 0.000 0.000 0.000
Ta2 0.000 0.500 0.250
Tl1 0.000 0.500 0.750
P1 0.000 0.000 0.500
# ΔE_f ... 49 kJ/mol of atoms
# Magnetic moment ... 0.00 μB/atom
# Energy relative to the lowest polymorph listed for this composition ... 569 meV per atom
# V ... 145.7 Å³ per cell



No. 2
# PBE-GGA SrLa2Ag2, optimized geometry
data_SrLa2Ag2
_cell_length_a 9.150
_cell_length_b 9.150
_cell_length_c 3.614
_cell_angle_alpha 90.00
_cell_angle_beta 90.00
_cell_angle_gamma 90.00
_symmetry_space_group_name_H-M 'P 4/m b m'
_symmetry_Int_Tables_number 127
_symmetry_space_group_name_Hall '-P 4 2ab'
loop_
_atom_site_label
_atom_site_fract_x
_atom_site_fract_y
_atom_site_fract_z
Sr1 0.000 0.000 0.000
La1 0.127 0.373 0.000
Ag1 0.170 0.670 0.500
# ΔE_f ... -10 kJ/mol of atoms
# Magnetic moment ... 0.00 μB/atom
# Energy relative to the lowest polymorph listed for this composition ... 77 meV per atom
# V ... 302.5 Å³ per cell



No. 3
# PBE-GGA RePd, optimized geometry
data_RePd
_cell_length_a 2.690
_cell_length_b 4.730
_cell_length_c 4.913
_cell_angle_alpha 98.03
_cell_angle_beta 90.60
_cell_angle_gamma 104.40
_symmetry_space_group_name_H-M 'P -1'
_symmetry_Int_Tables_number 2
loop_
_symmetry_equiv_pos_as_xyz
'x,y,z'
'-x,-y,-z'
loop_
_atom_site_label
_atom_site_fract_x
_atom_site_fract_y
_atom_site_fract_z
Re1 0.090 0.246 0.382
Pd1 0.388 0.757 0.124
# ΔE_f ... 12 kJ/mol of atoms
# Magnetic moment ... 0.00 μB/atom
# Energy relative to the lowest polymorph listed for this composition ... 60 meV per atom
# V ... 59.9 Å³ per cell



No. 4
# PBE-GGA Pr2AgGe3Pt4, optimized geometry
data_Pr2AgGe3Pt4
_cell_length_a 4.395
_cell_length_b 4.395
_cell_length_c 10.356
_cell_angle_alpha 90.00
_cell_angle_beta 90.00
_cell_angle_gamma 90.00
_symmetry_space_group_name_H-M 'P -4 m 2'
_symmetry_Int_Tables_number 115
loop_
_symmetry_equiv_pos_as_xyz
'x,y,z'
'y,-x,-z'
'-x,-y,z'
'-y,x,-z'
'-x,y,z'
'-y,-x,-z'
'x,-y,z'
'y,x,-z'
loop_
_atom_site_label
_atom_site_fract_x
_atom_site_fract_y
_atom_site_fract_z
Pr1 0.000 0.500 0.247
Ag1 0.500 0.500 0.000
Ge1 0.000 0.000 0.000
Ge2 0.000 0.500 0.624
Pt1 0.000 0.000 0.500
Pt2 0.000 0.500 0.858
Pt3 0.500 0.500 0.500
# ΔE_f ... -78 kJ/mol of atoms
# Magnetic moment ... 0.00 μB/atom
# V ... 200.0 Å³ per cell



Uncorrected energy for every record listed, in sequence, given in eV/cell: -58.933 -35.553 -34.787 -58.504.